Ca2ReAs: relaxed, PBE.

It has space group I-42d (No. 122), with a = 10.380 Å, b = 10.380 Å, c = 4.671 Å, α = 90.00°, β = 90.00° and γ = 90.00°. The distinct sites, in fractional coordinates, are Ca at (0.097, 0.250, 0.125), Re at (0.000, 0.000, 0.500) and As at (0.000, 0.000, 0.000).

For the total energy, the calculation gives -4.92 eV per atom. For the formation energy from the elements, the calculation gives 136 kJ/mol of formula units. Its density is 4.5 g/cm3. Its crystal system is tetragonal.



Ca2ReAs: relaxed, PBE.

It has space group P4/mmm (No. 123), with a = 4.477 Å, b = 4.477 Å, c = 4.209 Å, α = 90.00°, β = 90.00° and γ = 90.00°. The distinct sites, in fractional coordinates, are Ca at (0.000, 0.500, 0.000), Re at (0.000, 0.000, 0.500) and As at (0.500, 0.500, 0.500).

For the total energy, the calculation gives -4.99 eV per atom. For the formation energy from the elements, the calculation gives 110 kJ/mol of formula units. Its density is 6.7 g/cm3. Its crystal system is tetragonal.



Ca2ReAs: relaxed, PBE.

It has space group F-43m (No. 216), with a = 6.871 Å, b = 6.871 Å, c = 6.871 Å, α = 90.00°, β = 90.00° and γ = 90.00°. The distinct sites, in fractional coordinates, are Ca at (0.000, 0.000, 0.000), Ca at (0.250, 0.250, 0.250), Re at (0.000, 0.000, 0.500) and As at (0.250, 0.250, 0.750).

For the total energy, the calculation gives -4.90 eV per atom. For the formation energy from the elements, the calculation gives 146 kJ/mol of formula units. Its density is 7.0 g/cm3. Its crystal system is cubic.



Ca2ReAs: relaxed, PBE.

It has space group I-4m2 (No. 119), with a = 4.473 Å, b = 4.473 Å, c = 8.384 Å, α = 90.00°, β = 90.00° and γ = 90.00°. The distinct sites, in fractional coordinates, are Ca at (0.000, 0.000, 0.000), Ca at (0.000, 0.500, 0.250), Re at (0.000, 0.500, 0.750) and As at (0.000, 0.000, 0.500).

For the total energy, the calculation gives -4.90 eV per atom. For the formation energy from the elements, the calculation gives 143 kJ/mol of formula units. Its density is 6.8 g/cm3. Its crystal system is tetragonal.